1.
{
  "formula": "CeNd2Ho",
  "functional": "GGA-PBE",
  "state": "relaxed",
  "magnetic_moment_mub_per_fu": 0.623,
  "space_group": "No. 123",
  "de_polymorph_ev_per_fu": 0.032,
  "crystal_system": "tetragonal",
  "lattice": [[-1.8141, -2.0406, -2.3111], [0.7482, -2.8928, 1.9668], [-8.5536, 1.4700, 5.4162]],
  "species": ["Nd", "Nd", "Ho", "Ce"],
  "frac_coords": [[0.0000, 0.0000, 0.7455], [0.0000, 0.0000, 0.2545], [0.5000, 0.5000, 0.0000], [0.5000, 0.5000, 0.5000]]
}

2.
{
  "formula": "CeNd2Ho",
  "functional": "GGA-PBE",
  "state": "relaxed",
  "magnetic_moment_mub_per_fu": 0.555,
  "space_group": "No. 160",
  "de_polymorph_ev_per_fu": 0.000,
  "crystal_system": "trigonal",
  "lattice": [[-1.7112, 3.0860, 0.7219], [-1.7443, 1.7481, -2.6220], [-10.8365, -4.3381, 1.8431]],
  "species": ["Ce", "Nd", "Nd", "Ho"],
  "frac_coords": [[0.6667, 0.6667, 0.9998], [0.0825, 0.0825, 0.7526], [0.2507, 0.2507, 0.2479], [0.5001, 0.5001, 0.4998]]
}

3.
{
  "formula": "CeNd3Ho3",
  "functional": "GGA-PBE",
  "state": "relaxed",
  "magnetic_moment_mub_per_fu": 1.243,
  "space_group": "No. 12",
  "crystal_system": "monoclinic",
  "lattice": [[-8.1213, 0.3312, 0.5025], [0.1033, -5.2917, 6.1891], [0.5126, 5.4716, 4.6690]],
  "species": ["Ce", "Ce", "Nd", "Nd", "Nd", "Nd", "Nd", "Nd", "Ho", "Ho", "Ho", "Ho", "Ho", "Ho"],
  "frac_coords": [[0.2938, 0.2938, 0.9991], [0.7062, 0.7062, 0.0009], [0.9994, 0.9994, 0.7495], [0.4993, 0.0005, 0.2468], [0.0005, 0.4993, 0.2468], [0.5007, 0.9995, 0.7532], [0.9995, 0.5007, 0.7532], [0.0006, 0.0006, 0.2505], [0.2809, 0.2809, 0.5011], [0.2920, 0.7080, 0.5000], [0.7080, 0.2920, 0.5000], [0.2803, 0.7197, 0.0000], [0.7197, 0.2803, 0.0000], [0.7191, 0.7191, 0.4989]]
}

4.
{
  "formula": "CeNd2Ho2",
  "functional": "GGA-PBE",
  "state": "relaxed",
  "magnetic_moment_mub_per_fu": 0.697,
  "space_group": "No. 139",
  "de_polymorph_ev_per_fu": 0.000,
  "crystal_system": "tetragonal",
  "lattice": [[-0.3332, 2.2588, 3.9247], [-3.9888, -2.0093, 0.8177], [6.0926, -6.3382, 1.5386]],
  "species": ["Ce", "Nd", "Nd", "Ho", "Ho"],
  "frac_coords": [[0.0000, 0.0000, 0.0000], [0.4069, 0.4069, 0.8138], [0.5931, 0.5931, 0.1862], [0.7500, 0.2500, 0.5000], [0.2500, 0.7500, 0.5000]]
}

5.
{
  "formula": "CeNd2Ho4",
  "functional": "GGA-PBE",
  "state": "relaxed",
  "magnetic_moment_mub_per_fu": 0.910,
  "space_group": "No. 8",
  "de_polymorph_ev_per_fu": 0.000,
  "crystal_system": "monoclinic",
  "lattice": [[-0.9651, -2.3188, -2.5661], [1.9633, -1.1267, 2.7919], [-17.9069, -2.7029, 9.1775]],
  "species": ["Nd", "Nd", "Ho", "Ho", "Ho", "Ho", "Ce"],
  "frac_coords": [[0.6236, 0.2472, 0.0938], [0.7135, 0.4271, 0.3825], [0.9028, 0.8055, 0.9478], [0.4310, 0.8619, 0.5267], [0.0007, 0.0013, 0.2391], [0.5249, 0.0498, 0.8097], [0.8050, 0.6099, 0.6683]]
}

6.
{
  "formula": "CeNdHo",
  "functional": "GGA-PBE",
  "state": "relaxed",
  "magnetic_moment_mub_per_fu": 0.572,
  "space_group": "No. 156",
  "de_polymorph_ev_per_fu": 0.013,
  "crystal_system": "trigonal",
  "lattice": [[3.5442, 0.0000, 0.0000], [-1.7721, 3.0693, 0.0000], [0.0000, 0.0000, 8.7351]],
  "species": ["Nd", "Ho", "Ce"],
  "frac_coords": [[0.0000, 0.0000, 0.9956], [0.6667, 0.3333, 0.3411], [0.3333, 0.6667, 0.6633]]
}

7.
{
  "formula": "CeNd3Ho6",
  "functional": "GGA-PBE",
  "state": "relaxed",
  "magnetic_moment_mub_per_fu": 0.798,
  "space_group": "No. 36",
  "crystal_system": "orthorhombic",
  "lattice": [[-3.1129, -1.8492, 5.0467], [9.4891, -1.6669, 5.2422], [-4.8198, 9.8323, 0.6299]],
  "species": ["Ce", "Ce", "Nd", "Nd", "Nd", "Nd", "Nd", "Nd", "Ho", "Ho", "Ho", "Ho", "Ho", "Ho", "Ho", "Ho", "Ho", "Ho", "Ho", "Ho"],
  "frac_coords": [[0.1409, 0.2056, 0.7944], [0.6409, 0.7944, 0.2056], [0.4517, 0.9409, 0.7165], [0.9517, 0.7165, 0.9409], [0.0661, 0.3885, 0.6115], [0.5661, 0.6115, 0.3885], [0.9517, 0.0591, 0.2835], [0.4517, 0.2835, 0.0591], [0.0364, 0.7099, 0.6179], [0.5364, 0.6179, 0.7099], [0.3776, 0.5439, 0.9630], [0.8776, 0.9630, 0.5439], [0.4122, 0.9513, 0.0487], [0.6347, 0.2795, 0.7205], [0.1347, 0.7205, 0.2795], [0.9122, 0.0487, 0.9513], [0.3776, 0.0370, 0.4561], [0.8776, 0.4561, 0.0370], [0.0364, 0.3821, 0.2901], [0.5364, 0.2901, 0.3821]]
}

8.
{
  "formula": "CeNdHo",
  "functional": "GGA-PBE",
  "state": "relaxed",
  "magnetic_moment_mub_per_fu": 0.207,
  "space_group": "No. 107",
  "de_polymorph_ev_per_fu": 0.021,
  "crystal_system": "tetragonal",
  "lattice": [[-2.2385, 2.3562, 1.4386], [0.9834, -1.0501, 3.2500], [6.0661, 4.5017, -2.3244]],
  "species": ["Nd", "Ho", "Ce"],
  "frac_coords": [[0.9945, 0.9945, 0.9891], [0.6740, 0.6740, 0.3480], [0.3314, 0.3314, 0.6629]]
}

Energy relative to the elements values (in eV per atom) by entry order: 0.068; 0.060; 0.209; 0.385; 0.043; 0.075; 0.161; 0.077.